Entry from OQMD: a relaxed structure of TmZrGa2Pd4 (PBE-GGA).

a = 4.3543 Å, b = 4.3543 Å, c = 8.7908 Å
α = 90.00°, β = 90.00°, γ = 120.00°
Last column: nearest neighbours and their distance in Å.
Element x y z (fractional)
Tm  0.0000  0.0000  0.0000  8 Pd 2.93-2.99
Zr  0.3333  0.6667  0.5000  8 Pd 2.88-2.89
Ga  0.6667  0.3333  0.2596  6 Pd 2.61-2.63
Ga  0.6667  0.3333  0.7404  6 Pd 2.61-2.63
Pd  0.0000  0.0000  0.3407  3 Ga 2.61, 4 Pd 2.80-2.92, 3 Zr 2.88
Pd  0.0000  0.0000  0.6593  3 Ga 2.61, 4 Pd 2.80-2.92, 3 Zr 2.88
Pd  0.3333  0.6667  0.1709  3 Ga 2.63, 1 Zr 2.89, 3 Pd 2.92, 3 Tm 2.93
Pd  0.3333  0.6667  0.8291  3 Ga 2.63, 1 Zr 2.89, 3 Pd 2.92, 3 Tm 2.93

Its space group is P-6m2. As for the energy: -46.36 eV per formula unit.

---

Entry from OQMD: a relaxed structure of SrEr (PBE-GGA).

a = 4.9813 Å, b = 4.9813 Å, c = 4.9813 Å
α = 60.00°, β = 60.00°, γ = 60.00°
Last column: nearest neighbours and their distance in Å.
Element x y z (fractional)
Sr  0.0000  0.0000  0.0000  6 Er 3.52
Er  0.5000  0.5000  0.5000  6 Sr 3.52

The calculation puts the energy above the most stable polymorph in this dataset at 120 kJ/mol of formula units. Its space group is Fm-3m.

---

Entry from OQMD: a relaxed structure of NaSrEr (PBE-GGA).

a = 5.6716 Å, b = 5.6716 Å, c = 5.6716 Å
α = 60.00°, β = 60.00°, γ = 60.00°
Last column: nearest neighbours and their distance in Å.
Element x y z (fractional)
Na  0.0000  0.0000  0.0000  4 Sr 3.47, 4 Er 3.47
Sr  0.2500  0.2500  0.2500  4 Na 3.47
Er  0.7500  0.7500  0.7500  4 Na 3.47

The calculation puts the energy above the most stable polymorph in this dataset at 0 kJ/mol of formula units. Its space group is F-43m.

---

Entry from OQMD: a relaxed structure of PrB2IO4 (PBE-GGA).

a = 4.2302 Å, b = 6.6877 Å, c = 8.6283 Å
α = 82.11°, β = 89.23°, γ = 71.92°
Last column: nearest neighbours and their distance in Å.
Element x y z (fractional)
Pr  0.2177  0.0345  0.2027  5 O 2.41-2.69
Pr  0.7823  0.9655  0.7973  5 O 2.41-2.69
B  0.1677  0.3499  0.8606  3 O 1.35-1.40
B  0.4380  0.4364  0.1798  3 O 1.33-1.40
B  0.5620  0.5636  0.8202  3 O 1.33-1.40
B  0.8323  0.6501  0.1394  3 O 1.35-1.40
I  0.1385  0.2215  0.5410  1 B 3.01, 2 Pr 3.25-3.30, 2 O 3.25-3.35
I  0.8615  0.7785  0.4590  1 B 3.01, 2 Pr 3.25-3.30, 2 O 3.25-3.35
O  0.0978  0.4634  0.1637  2 B 1.39-1.40
O  0.1652  0.1530  0.9216  1 B 1.35
O  0.3633  0.7636  0.8049  1 B 1.33
O  0.4817  0.3747  0.8327  2 B 1.40
O  0.5183  0.6253  0.1673  2 B 1.40
O  0.6367  0.2364  0.1951  1 B 1.33
O  0.8348  0.8470  0.0784  1 B 1.35
O  0.9022  0.5366  0.8363  2 B 1.39-1.40

Its space group is P-1. As for the energy: -59.39 eV per formula unit.

---

Entry from OQMD: a relaxed structure of KLiZrS3 (PBE-GGA).

a = 8.4745 Å, b = 3.8273 Å, c = 9.0236 Å
α = 90.00°, β = 108.56°, γ = 90.00°
Last column: nearest neighbours and their distance in Å.
Element x y z (fractional)
K  0.2204  0.2500  0.2596  7 S 3.19-3.40
K  0.7796  0.7500  0.7404  7 S 3.19-3.40
Li  0.0762  0.2500  0.6001  4 S 2.36-2.42
Li  0.9238  0.7500  0.3999  4 S 2.36-2.42
Zr  0.3203  0.7500  0.8425  6 S 2.48-2.67
Zr  0.6797  0.2500  0.1575  6 S 2.48-2.67
S  0.1277  0.2500  0.8730  1 Li 2.36, 2 Zr 2.59
S  0.2165  0.7500  0.5522  3 Li 2.36-2.42, 1 Zr 2.48
S  0.4651  0.7500  0.1522  3 Zr 2.63-2.67
S  0.5349  0.2500  0.8478  3 Zr 2.63-2.67
S  0.7835  0.2500  0.4478  3 Li 2.36-2.42, 1 Zr 2.48
S  0.8723  0.7500  0.1270  1 Li 2.36, 2 Zr 2.59

The calculation puts the energy above the most stable polymorph in this dataset at 1 kJ/mol of formula units. Its space group is P2_1/m.

---

Entry from OQMD: a relaxed structure of Ho3MgIn3AgPt (PBE-GGA).

a = 7.9935 Å, b = 7.9935 Å, c = 3.8017 Å
α = 90.00°, β = 90.00°, γ = 120.00°
Last column: nearest neighbours and their distance in Å.
Element x y z (fractional)
Ho  0.0366  0.4170  0.0000  2 Pt 2.91, 1 Ag 3.20
Ho  0.3803  0.9634  0.0000  2 Pt 2.91, 1 Ag 3.20
Ho  0.5830  0.6197  0.0000  2 Pt 2.91, 1 Ag 3.20
Mg  0.6667  0.3333  0.5000  3 In 2.88
In  0.2754  0.2599  0.5000  2 Ag 2.86, 1 Mg 2.88, 1 Pt 3.05
In  0.7401  0.0156  0.5000  2 Ag 2.86, 1 Mg 2.88, 1 Pt 3.05
In  0.9844  0.7246  0.5000  2 Ag 2.86, 1 Mg 2.88, 1 Pt 3.05
Ag  0.0000  0.0000  0.0000  6 In 2.86, 3 Ho 3.20
Pt  0.3333  0.6667  0.5000  6 Ho 2.91, 3 In 3.05

Its space group is P-6. As for the energy: -37.64 eV per formula unit.

---

Entry from OQMD: a relaxed structure of RbHoO3 (PBE-GGA).

a = 6.5326 Å, b = 6.5326 Å, c = 6.5326 Å
α = 59.35°, β = 59.35°, γ = 59.35°
Last column: nearest neighbours and their distance in Å.
Element x y z (fractional)
Rb  0.1218  0.1218  0.1218  6 O 2.86-3.20
Rb  0.8782  0.8782  0.8782  6 O 2.86-3.20
Ho  0.3457  0.3457  0.3457  6 O 2.20-2.22
Ho  0.6543  0.6543  0.6543  6 O 2.20-2.22
O  0.0528  0.6022  0.5599  2 Ho 2.20-2.22, 1 O 2.33
O  0.3978  0.4401  0.9472  2 Ho 2.20-2.22, 1 O 2.33
O  0.4401  0.9472  0.3978  2 Ho 2.20-2.22, 1 O 2.33
O  0.5599  0.0528  0.6022  2 Ho 2.20-2.22, 1 O 2.33
O  0.6022  0.5599  0.0528  2 Ho 2.20-2.22, 1 O 2.33
O  0.9472  0.3978  0.4401  2 Ho 2.20-2.22, 1 O 2.33

Its space group is R-3. As for the energy: -29.80 eV per formula unit.

---

Entry from OQMD: a relaxed structure of NaPmSO (PBE-GGA).

a = 4.3636 Å, b = 7.3805 Å, c = 6.1684 Å
α = 90.00°, β = 90.00°, γ = 90.00°
Last column: nearest neighbours and their distance in Å.
Element x y z (fractional)
Na  0.0000  0.2011  0.0000  2 O 2.57, 2 S 2.77
Na  0.0000  0.7989  0.5000  2 O 2.57, 2 S 2.77
Pm  0.5000  0.3538  0.4302  2 O 2.20
Pm  0.5000  0.6462  0.9302  2 O 2.20
S  0.0000  0.1720  0.5517  2 Pm 2.67, 2 Na 2.77
S  0.0000  0.8280  0.0517  2 Pm 2.67, 2 Na 2.77
O  0.5000  0.3744  0.0751  2 Pm 2.20
O  0.5000  0.6256  0.5751  2 Pm 2.20

The calculation puts the energy above the most stable polymorph in this dataset at 69 kJ/mol of formula units. Its space group is Pmc2_1.

---

Entry from OQMD: a relaxed structure of KGdMgS3 (PBE-GGA).

a = 8.7188 Å, b = 4.1297 Å, c = 9.8137 Å
α = 90.00°, β = 106.71°, γ = 90.00°
Last column: nearest neighbours and their distance in Å.
Element x y z (fractional)
K  0.2019  0.2500  0.2117  5 S 3.23-3.36
K  0.7981  0.7500  0.7883  5 S 3.23-3.36
Gd  0.3327  0.7500  0.8627  6 S 2.71-2.99
Gd  0.6673  0.2500  0.1373  6 S 2.71-2.99
Mg  0.0839  0.2500  0.6088  4 S 2.39-2.49
Mg  0.9161  0.7500  0.3912  4 S 2.39-2.49
S  0.1148  0.2500  0.8591  1 Mg 2.39
S  0.1973  0.7500  0.5459  3 Mg 2.44-2.49
S  0.4591  0.7500  0.1493  3 Gd 2.71-2.77
S  0.5409  0.2500  0.8507  3 Gd 2.71-2.77
S  0.8027  0.2500  0.4541  3 Mg 2.44-2.49
S  0.8852  0.7500  0.1409  1 Mg 2.39

Its space group is P2_1/m. As for the energy: -29.69 eV per formula unit.

---

Entry from OQMD: a relaxed structure of Ta4Co2WSe12 (PBE-GGA).

a = 7.1247 Å, b = 7.1247 Å, c = 19.3432 Å
α = 110.32°, β = 110.32°, γ = 27.54°
Last column: nearest neighbours and their distance in Å.
Element x y z (fractional)
Ta  0.0250  0.0250  0.1453  6 Se 2.55-2.67
Ta  0.1605  0.1605  0.4066  6 Se 2.55-2.71
Ta  0.8395  0.8395  0.5934  6 Se 2.55-2.71
Ta  0.9750  0.9750  0.8547  6 Se 2.55-2.67
Co  0.4460  0.4460  0.7165  5 Se 2.37-2.41
Co  0.5540  0.5540  0.2835  5 Se 2.37-2.41
W  0.5000  0.5000  0.0000  4 Se 2.50-2.52
Se  0.0716  0.0716  0.7647  2 Co 2.37, 1 Ta 2.55
Se  0.1750  0.1750  0.2786  2 Co 2.41, 2 Ta 2.55-2.67
Se  0.1848  0.1848  0.5522  3 Ta 2.62-2.71
Se  0.3471  0.3471  0.8815  1 W 2.50, 2 Ta 2.63
Se  0.3795  0.3795  0.0713  1 W 2.52, 2 Ta 2.63
Se  0.4828  0.4828  0.6053  1 Co 2.38, 2 Ta 2.56
Se  0.5172  0.5172  0.3947  1 Co 2.38, 2 Ta 2.56
Se  0.6205  0.6205  0.9287  1 W 2.52, 2 Ta 2.63
Se  0.6529  0.6529  0.1185  1 W 2.50, 2 Ta 2.63
Se  0.8152  0.8152  0.4478  3 Ta 2.62-2.71
Se  0.8250  0.8250  0.7214  2 Co 2.41, 2 Ta 2.55-2.67
Se  0.9284  0.9284  0.2353  2 Co 2.37, 1 Ta 2.55

Its space group is C2/m. As for the energy: -128.16 eV per formula unit.

---

Entry from OQMD: a relaxed structure of LuTlNO (PBE-GGA).

a = 5.4882 Å, b = 8.5998 Å, c = 5.5145 Å
α = 90.00°, β = 90.00°, γ = 90.00°
Last column: nearest neighbours and their distance in Å.
Element x y z (fractional)
Lu  0.9997  0.1138  0.0000  1 N 2.16, 4 O 2.17-2.19
Lu  0.0003  0.8862  0.5000  1 N 2.16, 4 O 2.17-2.19
Lu  0.5003  0.1138  0.5000  1 N 2.16, 4 O 2.17-2.19
Lu  0.4997  0.8862  0.0000  1 N 2.16, 4 O 2.17-2.19
Tl  0.0060  0.3720  0.5067  2 N 2.30-2.52
Tl  0.4940  0.3720  0.0067  2 N 2.30-2.52
Tl  0.5060  0.6280  0.5067  2 N 2.30-2.52
Tl  0.9940  0.6280  0.0067  2 N 2.30-2.52
N  0.0049  0.3625  0.0494  1 Lu 2.16, 1 Tl 2.30
N  0.4951  0.3625  0.5494  1 Lu 2.16, 1 Tl 2.30
N  0.5049  0.6375  0.0494  1 Lu 2.16, 1 Tl 2.30
N  0.9951  0.6375  0.5494  1 Lu 2.16, 1 Tl 2.30
O  0.2502  0.9999  0.2476  4 Lu 2.17-2.19
O  0.2498  0.9999  0.7476  4 Lu 2.17-2.19
O  0.7502  0.0001  0.2476  4 Lu 2.17-2.19
O  0.7498  0.0001  0.7476  4 Lu 2.17-2.19

The calculation puts the energy above the most stable polymorph in this dataset at 0 kJ/mol of formula units. Its space group is Pca2_1.

---

Entry from OQMD: a relaxed structure of GdTm2Sn3Pd2Pt (PBE-GGA).

a = 3.9346 Å, b = 7.5690 Å, c = 7.5690 Å
α = 120.23°, β = 90.00°, γ = 90.00°
Last column: nearest neighbours and their distance in Å.
Element x y z (fractional)
Gd  0.0000  0.0000  0.0000  1 Pt 3.05, 4 Pd 3.06, 6 Sn 3.21-3.32
Tm  0.0000  0.1989  0.5987  1 Pt 3.01, 4 Pd 3.02, 6 Sn 3.23-3.31
Tm  0.0000  0.5987  0.1989  1 Pt 3.01, 4 Pd 3.02, 6 Sn 3.23-3.31
Sn  0.5000  0.3359  0.3359  2 Pt 2.77, 2 Pd 2.85
Sn  0.5000  0.5979  0.8601  2 Pd 2.79-2.84, 2 Pt 2.80
Sn  0.5000  0.8601  0.5979  2 Pd 2.79-2.84, 2 Pt 2.80
Pd  0.5000  0.2691  0.9303  3 Sn 2.79-2.85, 4 Tm 3.02, 2 Gd 3.06
Pd  0.5000  0.9303  0.2691  3 Sn 2.79-2.85, 4 Tm 3.02, 2 Gd 3.06
Pt  0.0000  0.5953  0.5953  6 Sn 2.77-2.80, 2 Tm 3.01, 1 Gd 3.05

Its space group is Amm2. As for the energy: -50.78 eV per formula unit.

---

Entry from OQMD: a relaxed structure of TlNi4C2S (PBE-GGA).

a = 3.1368 Å, b = 3.1368 Å, c = 11.6053 Å
α = 90.00°, β = 90.00°, γ = 120.00°
Last column: nearest neighbours and their distance in Å.
Element x y z (fractional)
Tl  0.0000  0.0000  0.0000  6 Ni 3.01, 6 Tl 3.14
Ni  0.0000  0.0000  0.3548  3 C 2.05
Ni  0.0000  0.0000  0.6452  3 C 2.05
Ni  0.6667  0.3333  0.2067  3 C 1.96
Ni  0.6667  0.3333  0.7933  3 C 1.96
C  0.3333  0.6667  0.2713  6 Ni 1.96-2.05
C  0.3333  0.6667  0.7287  6 Ni 1.96-2.05
S  0.6667  0.3333  0.5000  6 Ni 2.47

Its space group is P-6m2. As for the energy: -43.86 eV per formula unit.

---

Entry from OQMD: a relaxed structure of TlCoCl3 (PBE-GGA).

a = 6.9267 Å, b = 6.9267 Å, c = 5.8391 Å
α = 90.00°, β = 90.00°, γ = 120.00°
Last column: nearest neighbours and their distance in Å.
Element x y z (fractional)
Tl  0.3333  0.6667  0.2500  12 Cl 3.46-3.58
Tl  0.6667  0.3333  0.7500  12 Cl 3.46-3.58
Co  0.0000  0.0000  0.0000  6 Cl 2.42
Co  0.0000  0.0000  0.5000  6 Cl 2.42
Cl  0.1609  0.3218  0.7500  2 Co 2.42
Cl  0.1609  0.8391  0.7500  2 Co 2.42
Cl  0.3218  0.1609  0.2500  2 Co 2.42
Cl  0.6782  0.8391  0.7500  2 Co 2.42
Cl  0.8391  0.1609  0.2500  2 Co 2.42
Cl  0.8391  0.6782  0.2500  2 Co 2.42

Its space group is P6_3/mmc. As for the energy: -18.71 eV per formula unit.

---

Entry from OQMD: a relaxed structure of TbPrW2C3 (PBE-GGA).

a = 6.3079 Å, b = 6.3079 Å, c = 5.8528 Å
α = 113.52°, β = 113.52°, γ = 31.09°
Last column: nearest neighbours and their distance in Å.
Element x y z (fractional)
Tb  0.0000  0.0000  0.0000  5 C 2.46-2.60
Pr  0.2167  0.2167  0.6299  5 C 2.55-2.69
W  0.4541  0.4541  0.5001  4 C 2.07-2.17
W  0.7693  0.7693  0.1463  4 C 2.05-2.16
C  0.3615  0.3615  0.0941  3 W 2.12-2.17
C  0.6090  0.6090  0.8319  2 W 2.05-2.07
C  0.8645  0.8645  0.5508  3 W 2.10-2.16

Its space group is Cm. As for the energy: -64.64 eV per formula unit.

---

Entry from OQMD: a relaxed structure of ZnFeCuBi (PBE-GGA).

a = 4.4760 Å, b = 4.4760 Å, c = 4.4760 Å
α = 60.00°, β = 60.00°, γ = 60.00°
Last column: nearest neighbours and their distance in Å.
Element x y z (fractional)
Zn  0.0000  0.0000  0.0000  4 Cu 2.74, 4 Fe 2.74
Fe  0.2500  0.2500  0.2500  4 Bi 2.74, 4 Zn 2.74
Cu  0.7500  0.7500  0.7500  4 Bi 2.74, 4 Zn 2.74
Bi  0.5000  0.5000  0.5000  4 Cu 2.74, 4 Fe 2.74

The calculation puts the energy above the most stable polymorph in this dataset at 0 kJ/mol of formula units. Its space group is F-43m.

---

Entry from OQMD: a relaxed structure of KZrPdS3 (PBE-GGA).

a = 8.2411 Å, b = 3.7672 Å, c = 9.5619 Å
α = 90.00°, β = 110.27°, γ = 90.00°
Last column: nearest neighbours and their distance in Å.
Element x y z (fractional)
K  0.2371  0.2500  0.2662  6 S 3.15-3.33
K  0.7629  0.7500  0.7338  6 S 3.15-3.33
Zr  0.3116  0.7500  0.8406  6 S 2.57-2.64
Zr  0.6884  0.2500  0.1594  6 S 2.57-2.64
Pd  0.1043  0.2500  0.5936  3 S 2.37-2.51
Pd  0.8957  0.7500  0.4064  3 S 2.37-2.51
S  0.1058  0.2500  0.8567  1 Pd 2.51, 2 Zr 2.57
S  0.2611  0.7500  0.5604  2 Pd 2.37, 1 Zr 2.57
S  0.4546  0.7500  0.1338  3 Zr 2.64
S  0.5454  0.2500  0.8662  3 Zr 2.64
S  0.7389  0.2500  0.4396  2 Pd 2.37, 1 Zr 2.57
S  0.8942  0.7500  0.1433  1 Pd 2.51, 2 Zr 2.57

Its space group is P2_1/m. As for the energy: -34.38 eV per formula unit.

---

Entry from OQMD: a relaxed structure of TaZnCuAg (PBE-GGA).

a = 4.4527 Å, b = 4.4527 Å, c = 4.4527 Å
α = 60.00°, β = 60.00°, γ = 60.00°
Last column: nearest neighbours and their distance in Å.
Element x y z (fractional)
Ta  0.0000  0.0000  0.0000  4 Ag 2.73, 4 Zn 2.73
Zn  0.2500  0.2500  0.2500  4 Cu 2.73, 4 Ta 2.73
Cu  0.5000  0.5000  0.5000  4 Zn 2.73, 4 Ag 2.73
Ag  0.7500  0.7500  0.7500  4 Cu 2.73, 4 Ta 2.73

The calculation puts the energy above the most stable polymorph in this dataset at 20 kJ/mol of formula units. Its space group is F-43m.

---

Entry from OQMD: a relaxed structure of YLu3Pb2C2 (PBE-GGA).

a = 3.5816 Å, b = 3.5816 Å, c = 15.7889 Å
α = 90.00°, β = 90.00°, γ = 120.00°
Last column: nearest neighbours and their distance in Å.
Element x y z (fractional)
Y  0.0000  0.0000  0.0000  3 C 2.48
Lu  0.0000  0.0000  0.6632  3 C 2.43
Lu  0.6667  0.3333  0.1660  3 C 2.42
Lu  0.6667  0.3333  0.5016  3 C 2.43
Pb  0.0000  0.0000  0.3339  6 Lu 3.36, 6 Pb 3.58
Pb  0.6667  0.3333  0.8295  3 Lu 3.34, 3 Y 3.39, 6 Pb 3.58
C  0.3333  0.6667  0.0864  3 Lu 2.42, 3 Y 2.48
C  0.3333  0.6667  0.5824  6 Lu 2.43

Its space group is P3m1. As for the energy: -50.22 eV per formula unit.

---

Computed values of spin magnetization (unit: μB per formula unit) for the preceding records, in sequence: 0.02, 0.05, 0.00, 0.00, 0.00, 0.01, 2.00, 0.00, 0.00, 0.60, 0.00, 0.00, 0.00, 3.00, 0.00, 1.86, 0.00, 0.01, 0.01.